# 1
NiSO4 PBEsol optimized geometry; formation energy without anion corrections = -1117 meV per atom; volume = 10.4 Å³/atom
1.0
-2.344 -2.759 -2.962
4.631 -0.646 -0.134
-0.478 -4.349 4.428
Ni S O
2 2 8
direct
0.000 0.000 0.500
0.000 0.000 0.000
0.649 0.351 0.250
0.351 0.649 0.750
0.229 0.296 0.750
0.771 0.704 0.250
0.296 0.229 0.250
0.704 0.771 0.750
0.251 0.749 0.948
0.749 0.251 0.448
0.749 0.251 0.052
0.251 0.749 0.552

# 2
La2CuRe PBEsol optimized geometry; E = -27.507 eV for the cell shown; volume = 22.6 Å³/atom
1.0
-0.412 2.540 -2.376
-0.206 -2.407 -2.536
-7.308 -0.333 0.909
Cu La Re
1 2 1
direct
0.500 0.500 0.000
0.000 0.000 0.264
0.000 0.000 0.736
0.500 0.500 0.500

# 3
Cd2CoCu PBEsol optimized geometry; E = -13.511 eV for the cell shown; volume = 15.2 Å³/atom
1.0
-1.024 2.279 1.213
-2.964 0.290 -3.047
-2.668 -4.008 2.214
Cd Co Cu
2 1 1
direct
0.037 0.000 0.957
0.715 0.500 0.297
0.313 0.000 0.495
0.435 0.500 0.750

Look up the volume of the third one.
15.2 Å³/atom

Which value of volume does entry 1 give?
10.4 Å³/atom